# Y2Zn6Ru | Alexandria via LeMat-Bulk | PBE-GGA | relaxed
# density of states at the Fermi level: 0.550 states/eV/atom
# formation energy: -0.322 eV/atom
# space-group type: P-3m1
data_Y2Zn6Ru
_chemical_formula_sum 'Y2 Zn6 Ru1'
_space_group_name_H-M_alt 'P 1'
_space_group_IT_number 1
_cell_length_a 5.6575
_cell_length_b 5.6575
_cell_length_c 5.8165
_cell_angle_alpha 90.00
_cell_angle_beta 90.00
_cell_angle_gamma 120.00
loop_
_space_group_symop_operation_xyz
'x,y,z'
loop_
_atom_site_label
_atom_site_fract_x
_atom_site_fract_y
_atom_site_fract_z
Y1 0.3333 0.6667 0.3564
Y2 0.6667 0.3333 0.6436
Zn1 0.1762 0.3524 0.8300
Zn2 0.1762 0.8238 0.8300
Zn3 0.3524 0.1762 0.1700
Zn4 0.6476 0.8238 0.8300
Zn5 0.8238 0.1762 0.1700
Zn6 0.8238 0.6476 0.1700
Ru1 0.0000 0.0000 0.5000